Material: TbPr3Cd2
Method: DFT, GGA-PBE
State: optimized geometry

- D(E_F): 1.190 states/eV per atom
- Polymorph energy (0 for the lowest one): 57 meV/atom
- DFT total energy: -3.602 eV per atom

Lattice parameters (Å, degrees): 7.955 7.955 4.795 90.00 90.00 143.24
Atoms (fractional coordinates):
Tb (0.000, 0.000, 0.000)
Pr (0.173, 0.827, 0.500)
Pr (0.500, 0.500, 0.500)
Pr (0.827, 0.173, 0.500)
Cd (0.337, 0.663, 0.000)
Cd (0.663, 0.337, 0.000)